## A
Computed, not measured: a relaxed HfIrPd3 crystal at the PBE level of DFT.

The calculation puts the density of states at the Fermi level at 4.0 states/eV/f.u. The value obtained for the volume is 106.3 Å³ per cell.

The structure belongs to space group Pm-3m (No. 221); the cell edges are 4.7369, 4.7369 and 4.7369 Å and the angles 90.00°, 90.00° and 90.00°. The inequivalent atoms are Hf at (0.0000, 0.0000, 0.0000), Ir at (0.5000, 0.5000, 0.5000) and Pd at (0.0000, 0.0000, 0.5000).



## B
Computed, not measured: a relaxed HfIrPd3 crystal at the PBE level of DFT.

The calculation puts the density of states at the Fermi level at 8.8 states/eV/f.u. The value obtained for the volume is 108.9 Å³ per cell.

The structure belongs to space group Pm-3m (No. 221); the cell edges are 4.7753, 4.7753 and 4.7753 Å and the angles 90.00°, 90.00° and 90.00°. The inequivalent atoms are Hf at (0.0000, 0.0000, 0.0000), Ir at (0.5000, 0.5000, 0.5000) and Pd at (0.0000, 0.5000, 0.5000).



B is the most stable structure; the next one sits 11.3 kJ/mol of atoms above it.



## A
Computed, not measured: a relaxed Hf7Ir2Pt2 crystal at the PBE level of DFT.

The calculation puts the density of states at the Fermi level at 10.6 states/eV/f.u. The value obtained for the volume is 511.3 Å³ per cell.

The structure belongs to space group Cmmm (No. 65); the cell edges are 8.3067, 9.6136 and 6.4030 Å and the angles 90.00°, 90.00° and 90.00°. The inequivalent atoms are Hf at (0.0000, 0.0000, 0.0000), Hf at (0.0000, 0.5000, 0.2532), Hf at (0.2500, 0.2500, 0.2519), Ir at (0.0000, 0.2785, 0.0000) and Pt at (0.2427, 0.0000, 0.5000).



## B
Computed, not measured: a relaxed Hf7Ir2Pt2 crystal at the PBE level of DFT.

The calculation puts the density of states at the Fermi level at 10.0 states/eV/f.u. The value obtained for the volume is 447.4 Å³ per cell.

The structure belongs to space group Imm2 (No. 44); the cell edges are 3.4290, 14.1808 and 9.2001 Å and the angles 90.00°, 90.00° and 90.00°. The inequivalent atoms are Hf at (0.0000, 0.0000, 0.0000), Hf at (0.0000, 0.1176, 0.5941), Hf at (0.0000, 0.3131, 0.3713), Hf at (0.0000, 0.3743, 0.7382), Ir at (0.0000, 0.2330, 0.0739), Pt at (0.0000, 0.0000, 0.3597) and Pt at (0.0000, 0.5000, 0.2578).



B is the most stable structure; the next one sits 28.2 kJ/mol of atoms above it.



## A
Computed, not measured: a relaxed Hf2Ir2Pt crystal at the PBE level of DFT.

The calculation puts the density of states at the Fermi level at 3.3 states/eV/f.u. The value obtained for the volume is 177.7 Å³ per cell.

The structure belongs to space group P4/mbm (No. 127); the cell edges are 7.5282, 7.5282 and 3.1348 Å and the angles 90.00°, 90.00° and 90.00°. The inequivalent atoms are Hf at (0.1663, 0.3337, 0.0000), Ir at (0.1335, 0.6335, 0.5000) and Pt at (0.0000, 0.0000, 0.5000).



## B
Computed, not measured: a relaxed Hf2Ir2Pt crystal at the PBE level of DFT.

The calculation puts the density of states at the Fermi level at 2.4 states/eV/f.u. The value obtained for the volume is 181.6 Å³ per cell.

The structure belongs to space group P4/mbm (No. 127); the cell edges are 7.7029, 7.7029 and 3.0608 Å and the angles 90.00°, 90.00° and 90.00°. The inequivalent atoms are Hf at (0.1600, 0.3400, 0.0000), Ir at (0.1355, 0.6355, 0.5000) and Pt at (0.0000, 0.0000, 0.0000).



A is the most stable structure; the next one sits 18.4 kJ/mol of atoms above it.



## A
Computed, not measured: a relaxed RbHfIr crystal at the PBE level of DFT.

The calculation puts the density of states at the Fermi level at 2.2 states/eV/f.u. The value obtained for the volume is 214.8 Å³ per cell.

The structure belongs to space group P-1 (No. 2); the cell edges are 3.5651, 5.1096 and 12.5974 Å and the angles 86.62°, 88.56° and 69.67°. The inequivalent atoms are Rb at (0.1705, 0.2156, 0.1790), Hf at (0.1296, 0.2288, 0.5674) and Ir at (0.4021, 0.6802, 0.5878).



## B
Computed, not measured: a relaxed RbHfIr crystal at the PBE level of DFT.

The calculation puts the density of states at the Fermi level at 2.2 states/eV/f.u. The value obtained for the volume is 181.2 Å³ per cell.

The structure belongs to space group P1 (No. 1); the cell edges are 3.5403, 6.8072 and 7.8166 Å and the angles 99.45°, 102.62° and 90.02°. The inequivalent atoms are Rb at (0.0000, 0.0000, 0.0000), Rb at (0.1168, 0.5244, 0.1661), Hf at (0.2921, 0.9901, 0.5390), Hf at (0.3450, 0.4631, 0.6476), Ir at (0.7440, 0.2460, 0.4397) and Ir at (0.8050, 0.7085, 0.5647).



## C
Computed, not measured: a relaxed RbHfIr crystal at the PBE level of DFT.

The calculation puts the density of states at the Fermi level at 1.5 states/eV/f.u. The value obtained for the volume is 171.3 Å³ per cell.

The structure belongs to space group P1 (No. 1); the cell edges are 3.3382, 6.2217 and 8.5655 Å and the angles 90.99°, 90.57° and 105.56°. The inequivalent atoms are Rb at (0.0000, 0.0000, 0.0000), Rb at (0.2668, 0.5048, 0.7607), Hf at (0.6461, 0.2899, 0.3665), Hf at (0.9125, 0.8205, 0.4118), Ir at (0.2794, 0.5634, 0.2348) and Ir at (0.5233, 0.0333, 0.6004).



## D
Computed, not measured: a relaxed RbHfIr crystal at the PBE level of DFT.

The calculation puts the density of states at the Fermi level at 1.9 states/eV/f.u. The value obtained for the volume is 192.9 Å³ per cell.

The structure belongs to space group P2_1/m (No. 11); the cell edges are 3.2742, 4.4964 and 13.1787 Å and the angles 90.00°, 96.15° and 90.00°. The inequivalent atoms are Rb at (0.1486, 0.2500, 0.3314), Hf at (0.0390, 0.7500, 0.0900) and Ir at (0.4657, 0.7500, 0.9215).



D is the most stable structure; the next one sits 8.2 kJ/mol of atoms above it.



## A
Computed, not measured: a relaxed RbHfIr crystal at the PBE level of DFT.

The calculation puts the density of states at the Fermi level at 2.1 states/eV/f.u. The value obtained for the volume is 175.4 Å³ per cell.

The structure belongs to space group Amm2 (No. 38); the cell edges are 3.2581, 3.5504 and 15.1642 Å and the angles 90.00°, 90.00° and 90.00°. The inequivalent atoms are Rb at (0.0000, 0.0000, 0.0000), Hf at (0.0000, 0.0000, 0.7502) and Ir at (0.5000, 0.0000, 0.3242).



## B
Computed, not measured: a relaxed RbHfIr crystal at the PBE level of DFT.

The calculation puts the density of states at the Fermi level at 1.3 states/eV/f.u. The value obtained for the volume is 336.5 Å³ per cell.

The structure belongs to space group Cmcm (No. 63); the cell edges are 3.3500, 16.1112 and 6.2343 Å and the angles 90.00°, 90.00° and 90.00°. The inequivalent atoms are Rb at (0.0000, 0.2010, 0.2500), Hf at (0.0000, 0.5000, 0.0000) and Ir at (0.0000, 0.0872, 0.7500).



B is the most stable structure; the next one sits 7.7 kJ/mol of atoms above it.



## A
Computed, not measured: a relaxed Rb2HfIr crystal at the PBE level of DFT.

The calculation puts the density of states at the Fermi level at 4.3 states/eV/f.u. The value obtained for the volume is 804.8 Å³ per cell.

The structure belongs to space group I-42d (No. 122); the cell edges are 12.8196, 12.8196 and 4.8973 Å and the angles 90.00°, 90.00° and 90.00°. The inequivalent atoms are Rb at (0.0913, 0.7500, 0.1250), Hf at (0.0000, 0.0000, 0.5000) and Ir at (0.0000, 0.0000, 0.0000).



## B
Computed, not measured: a relaxed Rb2HfIr crystal at the PBE level of DFT.

The calculation puts the density of states at the Fermi level at 3.7 states/eV/f.u. The value obtained for the volume is 482.2 Å³ per cell.

The structure belongs to space group Fm-3m (No. 225); the cell edges are 7.8416, 7.8416 and 7.8416 Å and the angles 90.00°, 90.00° and 90.00°. The inequivalent atoms are Rb at (0.2500, 0.2500, 0.2500), Hf at (0.0000, 0.0000, 0.0000) and Ir at (0.0000, 0.0000, 0.5000).



A is the most stable structure; the next one sits 101.6 kJ/mol of atoms above it.



## A
Computed, not measured: a relaxed HfRe3Ir crystal at the PBE level of DFT.

The calculation puts the density of states at the Fermi level at 5.3 states/eV/f.u. The value obtained for the volume is 103.5 Å³ per cell.

The structure belongs to space group Pm-3m (No. 221); the cell edges are 4.6948, 4.6948 and 4.6948 Å and the angles 90.00°, 90.00° and 90.00°. The inequivalent atoms are Hf at (0.0000, 0.0000, 0.0000), Re at (0.0000, 0.5000, 0.5000) and Ir at (0.5000, 0.5000, 0.5000).



## B
Computed, not measured: a relaxed HfRe3Ir crystal at the PBE level of DFT.

The calculation puts the density of states at the Fermi level at 5.5 states/eV/f.u. The value obtained for the volume is 100.6 Å³ per cell.

The structure belongs to space group Pm-3m (No. 221); the cell edges are 4.6504, 4.6504 and 4.6504 Å and the angles 90.00°, 90.00° and 90.00°. The inequivalent atoms are Hf at (0.0000, 0.0000, 0.0000), Re at (0.0000, 0.0000, 0.5000) and Ir at (0.5000, 0.5000, 0.5000).



A is the most stable structure; the next one sits 98.3 kJ/mol of atoms above it.



## A
Computed, not measured: a relaxed HfReIr2 crystal at the PBE level of DFT.

The calculation puts the density of states at the Fermi level at 3.6 states/eV/f.u. The value obtained for the volume is 283.9 Å³ per cell.

The structure belongs to space group I-42d (No. 122); the cell edges are 3.9813, 3.9813 and 17.9084 Å and the angles 90.00°, 90.00° and 90.00°. The inequivalent atoms are Hf at (0.0000, 0.0000, 0.0000), Re at (0.0000, 0.0000, 0.5000) and Ir at (0.2285, 0.2500, 0.6250).



## B
Computed, not measured: a relaxed HfReIr2 crystal at the PBE level of DFT.

The calculation puts the density of states at the Fermi level at 7.5 states/eV/f.u. The value obtained for the volume is 261.4 Å³ per cell.

The structure belongs to space group Fm-3m (No. 225); the cell edges are 6.3942, 6.3942 and 6.3942 Å and the angles 90.00°, 90.00° and 90.00°. The inequivalent atoms are Hf at (0.0000, 0.0000, 0.0000), Re at (0.0000, 0.0000, 0.5000) and Ir at (0.2500, 0.2500, 0.2500).



## C
Computed, not measured: a relaxed HfReIr2 crystal at the PBE level of DFT.

The calculation puts the density of states at the Fermi level at 4.2 states/eV/f.u. The value obtained for the volume is 63.3 Å³ per cell.

The structure belongs to space group P4/mmm (No. 123); the cell edges are 4.0179, 4.0179 and 3.9184 Å and the angles 90.00°, 90.00° and 90.00°. The inequivalent atoms are Hf at (0.0000, 0.0000, 0.0000), Re at (0.5000, 0.5000, 0.0000) and Ir at (0.0000, 0.5000, 0.5000).



C is the most stable structure; the next one sits 44.1 kJ/mol of atoms above it.



## A
Computed, not measured: a relaxed Hf3ReIr crystal at the PBE level of DFT.

The calculation puts the density of states at the Fermi level at 8.5 states/eV/f.u. The value obtained for the volume is 117.9 Å³ per cell.

The structure belongs to space group Pm-3m (No. 221); the cell edges are 4.9038, 4.9038 and 4.9038 Å and the angles 90.00°, 90.00° and 90.00°. The inequivalent atoms are Hf at (0.0000, 0.0000, 0.5000), Re at (0.5000, 0.5000, 0.5000) and Ir at (0.0000, 0.0000, 0.0000).



## B
Computed, not measured: a relaxed Hf3ReIr crystal at the PBE level of DFT.

The calculation puts the density of states at the Fermi level at 7.7 states/eV/f.u. The value obtained for the volume is 119.2 Å³ per cell.

The structure belongs to space group Pm-3m (No. 221); the cell edges are 4.9218, 4.9218 and 4.9218 Å and the angles 90.00°, 90.00° and 90.00°. The inequivalent atoms are Hf at (0.0000, 0.0000, 0.5000), Re at (0.0000, 0.0000, 0.0000) and Ir at (0.5000, 0.5000, 0.5000).



A is the most stable structure; the next one sits 5.2 kJ/mol of atoms above it.



## A
Computed, not measured: a relaxed Hf2ReIr crystal at the PBE level of DFT.

The calculation puts the density of states at the Fermi level at 0.6 states/eV/f.u. The value obtained for the volume is 279.1 Å³ per cell.

The structure belongs to space group Fm-3m (No. 225); the cell edges are 6.5353, 6.5353 and 6.5353 Å and the angles 90.00°, 90.00° and 90.00°. The inequivalent atoms are Hf at (0.2500, 0.2500, 0.2500), Re at (0.0000, 0.0000, 0.0000) and Ir at (0.0000, 0.0000, 0.5000).



## B
Computed, not measured: a relaxed Hf2ReIr crystal at the PBE level of DFT.

The calculation puts the density of states at the Fermi level at 4.7 states/eV/f.u. The value obtained for the volume is 318.1 Å³ per cell.

The structure belongs to space group I-42d (No. 122); the cell edges are 4.2278, 4.2278 and 17.7968 Å and the angles 90.00°, 90.00° and 90.00°. The inequivalent atoms are Hf at (0.2497, 0.2500, 0.1250), Re at (0.0000, 0.0000, 0.0000) and Ir at (0.0000, 0.0000, 0.5000).



A is the most stable structure; the next one sits 118.8 kJ/mol of atoms above it.



## A
Computed, not measured: a relaxed Hf2IrRh crystal at the PBE level of DFT.

The calculation puts the density of states at the Fermi level at 1.9 states/eV/f.u. The value obtained for the volume is 302.6 Å³ per cell.

The structure belongs to space group I-42d (No. 122); the cell edges are 7.1392, 7.1392 and 5.9362 Å and the angles 90.00°, 90.00° and 90.00°. The inequivalent atoms are Hf at (0.2485, 0.7500, 0.1250), Ir at (0.0000, 0.0000, 0.5000) and Rh at (0.0000, 0.0000, 0.0000).



## B
Computed, not measured: a relaxed Hf2IrRh crystal at the PBE level of DFT.

The calculation puts the density of states at the Fermi level at 3.1 states/eV/f.u. The value obtained for the volume is 70.2 Å³ per cell.

The structure belongs to space group P4/mmm (No. 123); the cell edges are 4.6238, 4.6238 and 3.2832 Å and the angles 90.00°, 90.00° and 90.00°. The inequivalent atoms are Hf at (0.0000, 0.5000, 0.0000), Ir at (0.0000, 0.0000, 0.5000) and Rh at (0.5000, 0.5000, 0.5000).



B is the most stable structure; the next one sits 48.0 kJ/mol of atoms above it.